(1)
Entry from Alexandria: a relaxed structure of AcPr3Pu2Te6 (PBE-GGA).

Its raw formation energy is -1.338 eV per atom.

a b c (Å): 7.837 13.575 7.901
angles (deg): 90.00 109.36 90.00
Space group C2/m (No. 12)
Inequivalent atoms, fractional coordinates:
Ac 0.000 0.000 0.000 x2
Pr 0.000 0.160 0.500 x4
Pr 0.000 0.500 0.500 x2
Pu 0.000 0.332 0.000 x4
Te 0.235 0.500 0.244 x4
Te 0.243 0.327 0.749 x8

(2)
Entry from Alexandria: a relaxed structure of NdHo2Pd (PBE-GGA).

Its energy relative to the elements is -172 kJ/mol of formula units.

a b c (Å): 3.772 9.274 6.587
angles (deg): 90.00 106.58 90.00
Space group P2_1/m (No. 11)
Inequivalent atoms, fractional coordinates:
Nd 0.058 0.250 0.118 x2
Ho 0.363 0.060 0.725 x4
Pd 0.236 0.750 0.474 x2

(3)
Entry from Alexandria: a relaxed structure of Ga2As2I (PBE-GGA).

Its raw formation energy is 0.220 eV per atom.

a b c (Å): 8.121 8.121 3.470
angles (deg): 90.00 90.00 90.00
Space group P4/mbm (No. 127)
Inequivalent atoms, fractional coordinates:
Ga 0.140 0.360 0.000 x4
As 0.157 0.657 0.500 x4
I 0.000 0.000 0.500 x2

(4)
Entry from Alexandria: a relaxed structure of PrZnGeF (PBE-GGA).

Its raw formation energy is -1.677 eV per atom.

a b c (Å): 4.070 4.070 8.801
angles (deg): 90.00 90.00 90.00
Space group P4/nmm (No. 129, origin choice 2)
Inequivalent atoms, fractional coordinates:
Pr 0.250 0.250 0.182 x2
Zn 0.250 0.750 0.500 x2
Ge 0.250 0.250 0.685 x2
F 0.250 0.750 0.000 x2

(5)
Entry from Alexandria: a relaxed structure of Ce3PS2 (PBE-GGA).

Its raw formation energy is -1.883 eV per atom.

a b c (Å): 4.049 5.715 12.122
angles (deg): 90.00 90.00 90.00
Space group Immm (No. 71)
Inequivalent atoms, fractional coordinates:
Ce 0.000 0.000 0.000 x2
Ce 0.000 0.000 0.334 x4
P 0.000 0.500 0.000 x2
S 0.000 0.500 0.334 x4

(6)
Entry from Alexandria: a relaxed structure of TmHf3N (PBE-GGA).

Its raw formation energy is -0.588 eV per atom.

a b c (Å): 4.574 4.574 4.574
angles (deg): 90.00 90.00 90.00
Space group Pm-3m (No. 221)
Inequivalent atoms, fractional coordinates:
Tm 0.000 0.000 0.000 x1
Hf 0.000 0.500 0.500 x3
N 0.500 0.500 0.500 x1

(7)
Entry from Alexandria: a relaxed structure of BaFePt2I (PBE-GGA).

Its raw formation energy is -0.109 eV per atom.

a b c (Å): 4.910 4.910 5.274
angles (deg): 90.00 90.00 90.00
Space group P4/mmm (No. 123)
Inequivalent atoms, fractional coordinates:
Ba 0.000 0.000 0.000 x1
Fe 0.500 0.500 0.500 x1
Pt 0.000 0.500 0.500 x2
I 0.500 0.500 0.000 x1

(8)
Entry from Alexandria: a relaxed structure of Ca2TcW (PBE-GGA).

Its energy relative to the elements is 318 kJ/mol of formula units.

a b c (Å): 3.937 3.937 5.132
angles (deg): 90.00 90.00 90.00
Space group P4/mmm (No. 123)
Inequivalent atoms, fractional coordinates:
Ca 0.000 0.500 0.000 x2
Tc 0.000 0.000 0.500 x1
W 0.500 0.500 0.500 x1

| no. | magnetic moment (μB per formula unit) |
| --- | --- |
| 1 | 11.87 |
| 2 | 0.00 |
| 3 | 0.00 |
| 4 | 0.00 |
| 5 | 1.49 |
| 6 | 0.00 |
| 7 | 3.44 |
| 8 | 0.00 |